[1]
! Sr5Ca2Cd (GGA-PBE, relaxed); values from VASP
! - Energy relative to the elements: -0.058 eV per atom
! - SG: Pbam, No. 55
! - Total magnetization: 0.00 μB per formula unit
&SYSTEM
  ibrav = 0, nat = 16, ntyp = 3
/
ATOMIC_SPECIES
Sr 87.62 Sr.upf
Ca 40.08 Ca.upf
Cd 112.41 Cd.upf
CELL_PARAMETERS angstrom
9.7248 0.0000 0.0000
0.0000 18.3963 0.0000
0.0000 0.0000 4.1573
ATOMIC_POSITIONS crystal
Sr 0.0000 0.0000 0.0000
Sr 0.0058 0.2264 0.0000
Sr 0.1997 0.3909 0.5000
Sr 0.3003 0.8909 0.5000
Sr 0.4942 0.7264 0.0000
Sr 0.5000 0.5000 0.0000
Sr 0.5058 0.2736 0.0000
Sr 0.6997 0.1091 0.5000
Sr 0.8003 0.6091 0.5000
Sr 0.9942 0.7736 0.0000
Ca 0.1934 0.6073 0.5000
Ca 0.3066 0.1073 0.5000
Ca 0.6934 0.8927 0.5000
Ca 0.8066 0.3927 0.5000
Cd 0.0000 0.5000 0.0000
Cd 0.5000 0.0000 0.0000

***

[2]
! SrCaCd3 (GGA-PBE, relaxed); values from VASP
! - Energy relative to the elements: -0.326 eV per atom
! - SG: Cmcm, No. 63
! - Total magnetization: 0.00 μB per formula unit
&SYSTEM
  ibrav = 0, nat = 10, ntyp = 3
/
ATOMIC_SPECIES
Sr 87.62 Sr.upf
Ca 40.08 Ca.upf
Cd 112.41 Cd.upf
CELL_PARAMETERS angstrom
2.0316 -15.0271 0.0000
2.0316 15.0271 0.0000
0.0000 0.0000 4.9666
ATOMIC_POSITIONS crystal
Sr 0.0744 0.9256 0.7500
Sr 0.9256 0.0744 0.2500
Ca 0.2100 0.7900 0.2500
Ca 0.7900 0.2100 0.7500
Cd 0.3222 0.6778 0.2500
Cd 0.3771 0.6229 0.7500
Cd 0.4749 0.5251 0.7500
Cd 0.5251 0.4749 0.2500
Cd 0.6229 0.3771 0.2500
Cd 0.6778 0.3222 0.7500

***

[3]
! Sr3Ca4Cd4 (GGA-PBE, relaxed); values from VASP
! - Energy relative to the elements: -0.233 eV per atom
! - SG: Immm, No. 71
! - Total magnetization: 0.00 μB per formula unit
&SYSTEM
  ibrav = 0, nat = 11, ntyp = 3
/
ATOMIC_SPECIES
Sr 87.62 Sr.upf
Ca 40.08 Ca.upf
Cd 112.41 Cd.upf
CELL_PARAMETERS angstrom
-2.1245 5.0056 9.4048
2.1245 -5.0056 9.4048
2.1245 5.0056 -9.4048
ATOMIC_POSITIONS crystal
Sr 0.0000 0.0000 0.0000
Sr 0.3979 0.8979 0.5000
Sr 0.6021 0.1021 0.5000
Ca 0.0191 0.3307 0.6884
Ca 0.3577 0.6693 0.6884
Ca 0.6423 0.3307 0.3116
Ca 0.9809 0.6693 0.3116
Cd 0.2542 0.2542 0.0000
Cd 0.2887 0.5000 0.7887
Cd 0.7113 0.5000 0.2113
Cd 0.7458 0.7458 0.0000

***

[4]
! SrCaCd (GGA-PBE, relaxed); values from VASP
! - Energy relative to the elements: -0.094 eV per atom
! - SG: Cm, No. 8
! - Total magnetization: 0.00 μB per formula unit
&SYSTEM
  ibrav = 0, nat = 3, ntyp = 3
/
ATOMIC_SPECIES
Sr 87.62 Sr.upf
Ca 40.08 Ca.upf
Cd 112.41 Cd.upf
CELL_PARAMETERS angstrom
4.8120 -2.7805 0.0000
4.8120 2.7805 0.0000
-3.1608 0.0000 4.5770
ATOMIC_POSITIONS crystal
Sr 0.0000 0.0000 0.0000
Ca 0.5000 0.5000 0.5028
Cd 0.7500 0.7500 0.2518

***

[5]
! Sr6Ca3Cd (GGA-PBE, relaxed); values from VASP
! - Energy relative to the elements: -0.027 eV per atom
! - SG: P2_1/m, No. 11
! - Total magnetization: 0.00 μB per formula unit
&SYSTEM
  ibrav = 0, nat = 20, ntyp = 3
/
ATOMIC_SPECIES
Sr 87.62 Sr.upf
Ca 40.08 Ca.upf
Cd 112.41 Cd.upf
CELL_PARAMETERS angstrom
10.9370 0.0000 0.0000
0.0000 6.4360 0.0000
-4.7322 0.0000 13.2438
ATOMIC_POSITIONS crystal
Sr 0.0328 0.2500 0.4212
Sr 0.1933 0.7500 0.1700
Sr 0.2821 0.2500 0.0107
Sr 0.3542 0.7500 0.8183
Sr 0.3550 0.2500 0.3352
Sr 0.4142 0.2500 0.6486
Sr 0.5858 0.7500 0.3514
Sr 0.6450 0.7500 0.6648
Sr 0.6458 0.2500 0.1817
Sr 0.7179 0.7500 0.9893
Sr 0.8067 0.2500 0.8300
Sr 0.9672 0.7500 0.5788
Ca 0.0272 0.7500 0.8810
Ca 0.0979 0.2500 0.7256
Ca 0.2691 0.7500 0.4762
Ca 0.7309 0.2500 0.5238
Ca 0.9021 0.7500 0.2744
Ca 0.9728 0.2500 0.1190
Cd 0.4612 0.7500 0.0897
Cd 0.5388 0.2500 0.9103

***

[6]
! SrCa4Cd2 (GGA-PBE, relaxed); values from VASP
! - Energy relative to the elements: -0.181 eV per atom
! - SG: P2_1/m, No. 11
! - Total magnetization: 0.00 μB per formula unit
&SYSTEM
  ibrav = 0, nat = 14, ntyp = 3
/
ATOMIC_SPECIES
Sr 87.62 Sr.upf
Ca 40.08 Ca.upf
Cd 112.41 Cd.upf
CELL_PARAMETERS angstrom
8.8208 0.0000 0.0000
0.0000 6.9663 0.0000
-3.4444 0.0000 8.4437
ATOMIC_POSITIONS crystal
Sr 0.0031 0.2500 0.1502
Sr 0.9969 0.7500 0.8498
Ca 0.2381 0.5011 0.5832
Ca 0.2381 0.9989 0.5832
Ca 0.3482 0.7500 0.2564
Ca 0.3989 0.2500 0.0173
Ca 0.6011 0.7500 0.9827
Ca 0.6518 0.2500 0.7436
Ca 0.7619 0.0011 0.4168
Ca 0.7619 0.4989 0.4168
Cd 0.0204 0.2500 0.7424
Cd 0.4185 0.2500 0.3773
Cd 0.5815 0.7500 0.6227
Cd 0.9796 0.7500 0.2576

***

[7]
! SrCaCd5 (GGA-PBE, relaxed); values from VASP
! - Energy relative to the elements: -0.151 eV per atom
! - SG: C2/m, No. 12
! - Total magnetization: 0.00 μB per formula unit
&SYSTEM
  ibrav = 0, nat = 7, ntyp = 3
/
ATOMIC_SPECIES
Sr 87.62 Sr.upf
Ca 40.08 Ca.upf
Cd 112.41 Cd.upf
CELL_PARAMETERS angstrom
3.1568 -4.8699 0.0000
3.1568 4.8699 0.0000
-0.0138 0.0000 6.8156
ATOMIC_POSITIONS crystal
Sr 0.0000 0.0000 0.0000
Ca 0.5000 0.5000 0.5000
Cd 0.0000 0.0000 0.5000
Cd 0.9998 0.5001 0.2581
Cd 0.0002 0.4999 0.7419
Cd 0.5001 0.9998 0.2581
Cd 0.4999 0.0002 0.7419

***

[8]
! Sr5CaCd (GGA-PBE, relaxed); values from VASP
! - Energy relative to the elements: 0.001 eV per atom
! - SG: P-1, No. 2
! - Total magnetization: 0.00 μB per formula unit
&SYSTEM
  ibrav = 0, nat = 14, ntyp = 3
/
ATOMIC_SPECIES
Sr 87.62 Sr.upf
Ca 40.08 Ca.upf
Cd 112.41 Cd.upf
CELL_PARAMETERS angstrom
7.1152 0.0000 0.0000
2.6275 9.3050 0.0000
2.5221 2.7410 10.2938
ATOMIC_POSITIONS crystal
Sr 0.0082 0.0997 0.1409
Sr 0.1258 0.6513 0.2097
Sr 0.2131 0.1351 0.4762
Sr 0.3189 0.5984 0.6470
Sr 0.4442 0.2952 0.0820
Sr 0.5558 0.7048 0.9180
Sr 0.6811 0.4016 0.3530
Sr 0.7869 0.8649 0.5238
Sr 0.8742 0.3487 0.7903
Sr 0.9918 0.9003 0.8591
Ca 0.4467 0.1391 0.7825
Ca 0.5533 0.8609 0.2175
Cd 0.0000 0.5000 0.0000
Cd 0.0000 0.5000 0.5000

***

[9]
! Sr6CaCd5 (GGA-PBE, relaxed); values from VASP
! - Energy relative to the elements: -0.254 eV per atom
! - SG: Immm, No. 71
! - Total magnetization: 0.00 μB per formula unit
&SYSTEM
  ibrav = 0, nat = 12, ntyp = 3
/
ATOMIC_SPECIES
Sr 87.62 Sr.upf
Ca 40.08 Ca.upf
Cd 112.41 Cd.upf
CELL_PARAMETERS angstrom
-2.9072 4.1876 8.7068
2.9072 -4.1876 8.7068
2.9072 4.1876 -8.7068
ATOMIC_POSITIONS crystal
Sr 0.0639 0.3258 0.7381
Sr 0.2258 0.0000 0.2258
Sr 0.4123 0.6742 0.7381
Sr 0.5877 0.3258 0.2619
Sr 0.7742 0.0000 0.7742
Sr 0.9361 0.6742 0.2619
Ca 0.5000 0.5000 0.0000
Cd 0.0000 0.5000 0.5000
Cd 0.1689 0.1689 0.0000
Cd 0.3495 0.8495 0.5000
Cd 0.6505 0.1505 0.5000
Cd 0.8311 0.8311 0.0000

***

[10]
! SrCaCd2 (GGA-PBE, relaxed); values from VASP
! - Energy relative to the elements: -0.257 eV per atom
! - SG: Cm, No. 8
! - Total magnetization: 0.00 μB per formula unit
&SYSTEM
  ibrav = 0, nat = 4, ntyp = 3
/
ATOMIC_SPECIES
Sr 87.62 Sr.upf
Ca 40.08 Ca.upf
Cd 112.41 Cd.upf
CELL_PARAMETERS angstrom
6.0704 -1.9528 0.0000
6.0704 1.9528 0.0000
-1.9771 0.0000 5.3039
ATOMIC_POSITIONS crystal
Sr 0.0000 0.0000 0.0000
Ca 0.7928 0.7928 0.3462
Cd 0.2448 0.2448 0.7995
Cd 0.5443 0.5443 0.5324

***

[11]
! SrCa2Cd (GGA-PBE, relaxed); values from VASP
! - Energy relative to the elements: -0.076 eV per atom
! - SG: R3m, No. 160
! - Total magnetization: 0.00 μB per formula unit
&SYSTEM
  ibrav = 0, nat = 4, ntyp = 3
/
ATOMIC_SPECIES
Sr 87.62 Sr.upf
Ca 40.08 Ca.upf
Cd 112.41 Cd.upf
CELL_PARAMETERS angstrom
2.0066 1.1585 11.4273
-2.0066 1.1585 11.4273
0.0000 -2.3170 11.4273
ATOMIC_POSITIONS crystal
Sr 0.0000 0.0000 0.0000
Ca 0.2349 0.2349 0.2349
Ca 0.4322 0.4322 0.4322
Cd 0.8337 0.8337 0.8337

***

[12]
! SrCaCd2 (GGA-PBE, relaxed); values from VASP
! - Energy relative to the elements: -0.180 eV per atom
! - SG: I-4m2, No. 119
! - Total magnetization: 0.00 μB per formula unit
&SYSTEM
  ibrav = 0, nat = 4, ntyp = 3
/
ATOMIC_SPECIES
Sr 87.62 Sr.upf
Ca 40.08 Ca.upf
Cd 112.41 Cd.upf
CELL_PARAMETERS angstrom
-2.4218 2.4218 5.4202
2.4218 -2.4218 5.4202
2.4218 2.4218 -5.4202
ATOMIC_POSITIONS crystal
Sr 0.0000 0.0000 0.0000
Ca 0.2500 0.7500 0.5000
Cd 0.5000 0.5000 0.0000
Cd 0.7500 0.2500 0.5000

***

[13]
! SrCa3Cd4 (GGA-PBE, relaxed); values from VASP
! - Energy relative to the elements: -0.341 eV per atom
! - SG: Pmma, No. 51
! - Total magnetization: 0.00 μB per formula unit
&SYSTEM
  ibrav = 0, nat = 16, ntyp = 3
/
ATOMIC_SPECIES
Sr 87.62 Sr.upf
Ca 40.08 Ca.upf
Cd 112.41 Cd.upf
CELL_PARAMETERS angstrom
11.1066 0.0000 0.0000
0.0000 7.6694 0.0000
0.0000 0.0000 5.5529
ATOMIC_POSITIONS crystal
Sr 0.0000 0.0000 0.0000
Sr 0.5000 0.0000 0.0000
Ca 0.0000 0.5000 0.0000
Ca 0.2500 0.0000 0.4992
Ca 0.2500 0.5000 0.4991
Ca 0.5000 0.5000 0.0000
Ca 0.7500 0.0000 0.5008
Ca 0.7500 0.5000 0.5009
Cd 0.0000 0.2615 0.5000
Cd 0.0000 0.7385 0.5000
Cd 0.2500 0.2615 0.9990
Cd 0.2500 0.7385 0.9990
Cd 0.5000 0.2615 0.5000
Cd 0.5000 0.7385 0.5000
Cd 0.7500 0.2615 0.0010
Cd 0.7500 0.7385 0.0010

***

[14]
! Sr2CaCd (GGA-PBE, relaxed); values from VASP
! - Energy relative to the elements: -0.055 eV per atom
! - SG: R3m, No. 160
! - Total magnetization: 0.00 μB per formula unit
&SYSTEM
  ibrav = 0, nat = 4, ntyp = 3
/
ATOMIC_SPECIES
Sr 87.62 Sr.upf
Ca 40.08 Ca.upf
Cd 112.41 Cd.upf
CELL_PARAMETERS angstrom
2.0743 1.1976 11.7090
-2.0743 1.1976 11.7090
0.0000 -2.3953 11.7090
ATOMIC_POSITIONS crystal
Sr 0.0000 0.0000 0.0000
Sr 0.1914 0.1914 0.1914
Ca 0.4293 0.4293 0.4293
Cd 0.5956 0.5956 0.5956

***

[15]
! Sr5Ca5Cd2 (GGA-PBE, relaxed); values from VASP
! - Energy relative to the elements: -0.072 eV per atom
! - SG: C2/m, No. 12
! - Total magnetization: 0.00 μB per formula unit
&SYSTEM
  ibrav = 0, nat = 12, ntyp = 3
/
ATOMIC_SPECIES
Sr 87.62 Sr.upf
Ca 40.08 Ca.upf
Cd 112.41 Cd.upf
CELL_PARAMETERS angstrom
9.0320 -2.7970 0.0000
9.0320 2.7970 0.0000
-6.8292 0.0000 10.1700
ATOMIC_POSITIONS crystal
Sr 0.0000 0.0000 0.0000
Sr 0.1337 0.1337 0.8363
Sr 0.1614 0.1614 0.4995
Sr 0.8386 0.8386 0.5005
Sr 0.8663 0.8663 0.1637
Ca 0.2388 0.2388 0.2348
Ca 0.4353 0.4353 0.7628
Ca 0.5000 0.5000 0.5000
Ca 0.5647 0.5647 0.2372
Ca 0.7612 0.7612 0.7652
Cd 0.3608 0.3608 0.9544
Cd 0.6392 0.6392 0.0456

***

[16]
! Sr3Ca12Cd (GGA-PBE, relaxed); values from VASP
! - Energy relative to the elements: -0.011 eV per atom
! - SG: P4/mmm, No. 123
! - Total magnetization: 0.00 μB per formula unit
&SYSTEM
  ibrav = 0, nat = 16, ntyp = 3
/
ATOMIC_SPECIES
Sr 87.62 Sr.upf
Ca 40.08 Ca.upf
Cd 112.41 Cd.upf
CELL_PARAMETERS angstrom
5.6667 0.0000 0.0000
0.0000 5.6667 0.0000
0.0000 0.0000 20.9915
ATOMIC_POSITIONS crystal
Sr 0.0000 0.0000 0.0000
Sr 0.0000 0.0000 0.2659
Sr 0.0000 0.0000 0.7341
Ca 0.0000 0.5000 0.1339
Ca 0.0000 0.5000 0.4004
Ca 0.0000 0.5000 0.5996
Ca 0.0000 0.5000 0.8661
Ca 0.5000 0.0000 0.1339
Ca 0.5000 0.0000 0.4004
Ca 0.5000 0.0000 0.5996
Ca 0.5000 0.0000 0.8661
Ca 0.5000 0.5000 0.0000
Ca 0.5000 0.5000 0.2700
Ca 0.5000 0.5000 0.5000
Ca 0.5000 0.5000 0.7300
Cd 0.0000 0.0000 0.5000

***

[17]
! SrCa7Cd4 (GGA-PBE, relaxed); values from VASP
! - Energy relative to the elements: -0.090 eV per atom
! - SG: C2/m, No. 12
! - Total magnetization: 0.00 μB per formula unit
&SYSTEM
  ibrav = 0, nat = 12, ntyp = 3
/
ATOMIC_SPECIES
Sr 87.62 Sr.upf
Ca 40.08 Ca.upf
Cd 112.41 Cd.upf
CELL_PARAMETERS angstrom
7.4618 -3.0087 0.0000
7.4618 3.0087 0.0000
-6.1496 0.0000 9.1174
ATOMIC_POSITIONS crystal
Sr 0.0000 0.0000 0.0000
Ca 0.0675 0.0675 0.3896
Ca 0.2205 0.2205 0.8848
Ca 0.3098 0.3098 0.3656
Ca 0.5000 0.5000 0.0000
Ca 0.6902 0.6902 0.6344
Ca 0.7795 0.7795 0.1152
Ca 0.9325 0.9325 0.6104
Cd 0.3134 0.3134 0.6696
Cd 0.4487 0.4487 0.2326
Cd 0.5513 0.5513 0.7674
Cd 0.6866 0.6866 0.3304

***

[18]
! SrCa4Cd (GGA-PBE, relaxed); values from VASP
! - Energy relative to the elements: 0.155 eV per atom
! - SG: F-43m, No. 216
! - Total magnetization: 0.00 μB per formula unit
&SYSTEM
  ibrav = 0, nat = 6, ntyp = 3
/
ATOMIC_SPECIES
Sr 87.62 Sr.upf
Ca 40.08 Ca.upf
Cd 112.41 Cd.upf
CELL_PARAMETERS angstrom
0.0000 5.0350 5.0350
5.0350 0.0000 5.0350
5.0350 5.0350 0.0000
ATOMIC_POSITIONS crystal
Sr 0.0000 0.0000 0.0000
Ca 0.1260 0.6247 0.6247
Ca 0.6247 0.1260 0.6247
Ca 0.6247 0.6247 0.1260
Ca 0.6247 0.6247 0.6247
Cd 0.2500 0.2500 0.2500

***

[19]
! Sr5CaCd6 (GGA-PBE, relaxed); values from VASP
! - Energy relative to the elements: -0.332 eV per atom
! - SG: Immm, No. 71
! - Total magnetization: 0.00 μB per formula unit
&SYSTEM
  ibrav = 0, nat = 12, ntyp = 3
/
ATOMIC_SPECIES
Sr 87.62 Sr.upf
Ca 40.08 Ca.upf
Cd 112.41 Cd.upf
CELL_PARAMETERS angstrom
-2.8443 4.0310 8.5421
2.8443 -4.0310 8.5421
2.8443 4.0310 -8.5421
ATOMIC_POSITIONS crystal
Sr 0.0000 0.0000 0.0000
Sr 0.1653 0.6653 0.5000
Sr 0.3309 0.3309 0.0000
Sr 0.6691 0.6691 0.0000
Sr 0.8347 0.3347 0.5000
Ca 0.5000 0.0000 0.5000
Cd 0.0946 0.8373 0.2573
Cd 0.2637 0.5000 0.7637
Cd 0.4200 0.1627 0.2573
Cd 0.5800 0.8373 0.7427
Cd 0.7363 0.5000 0.2363
Cd 0.9054 0.1627 0.7427

***

[20]
! SrCaCd2 (GGA-PBE, relaxed); values from VASP
! - Energy relative to the elements: -0.335 eV per atom
! - SG: Cmcm, No. 63
! - Total magnetization: 0.00 μB per formula unit
&SYSTEM
  ibrav = 0, nat = 8, ntyp = 3
/
ATOMIC_SPECIES
Sr 87.62 Sr.upf
Ca 40.08 Ca.upf
Cd 112.41 Cd.upf
CELL_PARAMETERS angstrom
3.9685 -5.5880 0.0000
3.9685 5.5880 0.0000
0.0000 0.0000 5.5744
ATOMIC_POSITIONS crystal
Sr 0.1250 0.8750 0.7500
Sr 0.8750 0.1250 0.2500
Ca 0.3743 0.6257 0.2500
Ca 0.6257 0.3743 0.7500
Cd 0.1388 0.3853 0.7500
Cd 0.3853 0.1388 0.2500
Cd 0.6147 0.8612 0.7500
Cd 0.8612 0.6147 0.2500

***

[21]
! Sr2CaCd (GGA-PBE, relaxed); values from VASP
! - Energy relative to the elements: -0.084 eV per atom
! - SG: Amm2, No. 38
! - Total magnetization: 0.00 μB per formula unit
&SYSTEM
  ibrav = 0, nat = 4, ntyp = 3
/
ATOMIC_SPECIES
Sr 87.62 Sr.upf
Ca 40.08 Ca.upf
Cd 112.41 Cd.upf
CELL_PARAMETERS angstrom
4.6469 0.0000 0.0000
0.0000 2.3263 8.0829
0.0000 -2.3263 8.0829
ATOMIC_POSITIONS crystal
Sr 0.0000 0.0000 0.0000
Sr 0.5000 0.3429 0.3429
Ca 0.0000 0.7029 0.7029
Cd 0.5000 0.5621 0.5621

***

[22]
! Sr2CaCd (GGA-PBE, relaxed); values from VASP
! - Energy relative to the elements: -0.081 eV per atom
! - SG: Cmmm, No. 65
! - Total magnetization: 0.00 μB per formula unit
&SYSTEM
  ibrav = 0, nat = 4, ntyp = 3
/
ATOMIC_SPECIES
Sr 87.62 Sr.upf
Ca 40.08 Ca.upf
Cd 112.41 Cd.upf
CELL_PARAMETERS angstrom
4.1074 -4.1130 0.0000
4.1074 4.1130 0.0000
0.0000 0.0000 4.6896
ATOMIC_POSITIONS crystal
Sr 0.0000 0.5000 0.0000
Sr 0.5000 0.0000 0.0000
Ca 0.0000 0.0000 0.5000
Cd 0.5000 0.5000 0.5000

***

[23]
! SrCaCd2 (GGA-PBE, relaxed); values from VASP
! - Energy relative to the elements: -0.181 eV per atom
! - SG: F-43m, No. 216
! - Total magnetization: 0.00 μB per formula unit
&SYSTEM
  ibrav = 0, nat = 4, ntyp = 3
/
ATOMIC_SPECIES
Sr 87.62 Sr.upf
Ca 40.08 Ca.upf
Cd 112.41 Cd.upf
CELL_PARAMETERS angstrom
0.0000 3.8320 3.8320
3.8320 0.0000 3.8320
3.8320 3.8320 0.0000
ATOMIC_POSITIONS crystal
Sr 0.0000 0.0000 0.0000
Ca 0.7500 0.7500 0.7500
Cd 0.2500 0.2500 0.2500
Cd 0.5000 0.5000 0.5000